Here is Ag4PtBr at its PBEsol-relaxed geometry from the Alexandria database. Energies are from meta-GGA SCAN.

Computed properties:
Symmetry: F-43m
Mass density: 10.7 g/cm³
E_form (uncorrected): 0.45 eV per atom
Calculated total energy: -212.40 eV/cell
Crystal system: cubic
DOS(E_F): 0.865 states/eV/atom

Geometry as POSCAR:
```
Ag4PtBr
1.0
0.0000 3.7937 3.7937
3.7937 0.0000 3.7937
3.7937 3.7937 0.0000
Ag Pt Br
4 1 1
Direct
0.1245 0.1245 0.1245
0.1245 0.1245 0.6265
0.1245 0.6265 0.1245
0.6265 0.1245 0.1245
0.7500 0.7500 0.7500
0.5000 0.5000 0.5000
```